First-principles (PBEsol) data for TcSeBr2 after structural relaxation, as listed in the Alexandria database.

Results
Relative energy among the computed polymorphs (meV/atom): 883.3
Size of the total moment (μB/cell): 2.35
ΔE_f (raw) (eV per atom): 0.918

Structure (POSCAR):
```
TcSeBr2
1.0
-2.830 -0.012 3.722
2.298 -4.116 -1.203
3.537 -1.466 2.684
Br Se Tc
2 1 1
Direct
0.250 0.500 0.250
0.750 0.500 0.750
0.500 0.000 0.500
0.000 0.000 0.000
```